(a)
# GGA-PBE ScCoAsBr2, optimized geometry
data_ScCoAsBr2
_chemical_formula_sum 'Sc1 Co1 As1 Br2'
_cell_length_a 5.126
_cell_length_b 5.126
_cell_length_c 5.510
_cell_angle_alpha 90.00
_cell_angle_beta 90.00
_cell_angle_gamma 90.00
_symmetry_space_group_name_H-M 'P 1'
_symmetry_Int_Tables_number 1
loop_
_symmetry_equiv_pos_as_xyz
'x,y,z'
loop_
_atom_site_label
_atom_site_fract_x
_atom_site_fract_y
_atom_site_fract_z
Sc1 0.000 0.000 0.000
Co1 0.500 0.500 0.500
As1 0.000 0.000 0.500
Br1 0.000 0.500 0.000
Br2 0.500 0.000 0.000
# * space-group type: No. 123
# * magnetic moment: 1.98 Bohr magnetons per cell
# * V: 28.954 A^3/atom


(b)
# GGA-PBE ScCoAsBr2, optimized geometry
data_ScCoAsBr2
_chemical_formula_sum 'Sc1 Co1 As1 Br2'
_cell_length_a 4.744
_cell_length_b 4.744
_cell_length_c 4.845
_cell_angle_alpha 90.00
_cell_angle_beta 90.00
_cell_angle_gamma 90.00
_symmetry_space_group_name_H-M 'P 1'
_symmetry_Int_Tables_number 1
loop_
_symmetry_equiv_pos_as_xyz
'x,y,z'
loop_
_atom_site_label
_atom_site_fract_x
_atom_site_fract_y
_atom_site_fract_z
Sc1 0.000 0.000 0.000
Co1 0.500 0.500 0.500
As1 0.500 0.500 0.000
Br1 0.000 0.500 0.500
Br2 0.500 0.000 0.500
# * space-group type: No. 123
# * magnetic moment: 0.51 Bohr magnetons per cell
# * V: 21.805 A^3/atom


Result of the stability comparison: (b) is the most stable of them.


(a)
# GGA-PBE CoAs2SeBr, optimized geometry
data_CoAs2SeBr
_chemical_formula_sum 'Co1 As2 Se1 Br1'
_cell_length_a 4.481
_cell_length_b 4.481
_cell_length_c 5.250
_cell_angle_alpha 90.00
_cell_angle_beta 90.00
_cell_angle_gamma 90.00
_symmetry_space_group_name_H-M 'P 1'
_symmetry_Int_Tables_number 1
loop_
_symmetry_equiv_pos_as_xyz
'x,y,z'
loop_
_atom_site_label
_atom_site_fract_x
_atom_site_fract_y
_atom_site_fract_z
Co1 0.000 0.000 0.000
As1 0.000 0.500 0.000
As2 0.500 0.000 0.000
Se1 0.000 0.000 0.500
Br1 0.500 0.500 0.500
# * space-group type: No. 123
# * magnetic moment: 0.00 Bohr magnetons per cell
# * V: 21.083 A^3/atom


(b)
# GGA-PBE CoAs2SeBr, optimized geometry
data_CoAs2SeBr
_chemical_formula_sum 'Co1 As2 Se1 Br1'
_cell_length_a 5.025
_cell_length_b 5.025
_cell_length_c 5.113
_cell_angle_alpha 90.00
_cell_angle_beta 90.00
_cell_angle_gamma 90.00
_symmetry_space_group_name_H-M 'P 1'
_symmetry_Int_Tables_number 1
loop_
_symmetry_equiv_pos_as_xyz
'x,y,z'
loop_
_atom_site_label
_atom_site_fract_x
_atom_site_fract_y
_atom_site_fract_z
Co1 0.000 0.000 0.000
As1 0.000 0.500 0.500
As2 0.500 0.000 0.500
Se1 0.500 0.500 0.000
Br1 0.500 0.500 0.500
# * space-group type: No. 123
# * magnetic moment: 0.23 Bohr magnetons per cell
# * V: 25.826 A^3/atom


Result of the stability comparison: (a) is the most stable of them.


(a)
# GGA-PBE CoAsSeBr2, optimized geometry
data_CoAsSeBr2
_chemical_formula_sum 'Co1 As1 Se1 Br2'
_cell_length_a 5.229
_cell_length_b 5.229
_cell_length_c 5.277
_cell_angle_alpha 90.00
_cell_angle_beta 90.00
_cell_angle_gamma 90.00
_symmetry_space_group_name_H-M 'P 1'
_symmetry_Int_Tables_number 1
loop_
_symmetry_equiv_pos_as_xyz
'x,y,z'
loop_
_atom_site_label
_atom_site_fract_x
_atom_site_fract_y
_atom_site_fract_z
Co1 0.000 0.000 0.000
As1 0.500 0.500 0.000
Se1 0.500 0.500 0.500
Br1 0.000 0.500 0.500
Br2 0.500 0.000 0.500
# * space-group type: No. 123
# * magnetic moment: 2.89 Bohr magnetons per cell
# * V: 28.862 A^3/atom


(b)
# GGA-PBE CoAsSeBr2, optimized geometry
data_CoAsSeBr2
_chemical_formula_sum 'Co1 As1 Se1 Br2'
_cell_length_a 5.207
_cell_length_b 5.207
_cell_length_c 5.210
_cell_angle_alpha 90.00
_cell_angle_beta 90.00
_cell_angle_gamma 90.00
_symmetry_space_group_name_H-M 'P 1'
_symmetry_Int_Tables_number 1
loop_
_symmetry_equiv_pos_as_xyz
'x,y,z'
loop_
_atom_site_label
_atom_site_fract_x
_atom_site_fract_y
_atom_site_fract_z
Co1 0.000 0.000 0.000
As1 0.500 0.500 0.500
Se1 0.500 0.500 0.000
Br1 0.000 0.500 0.500
Br2 0.500 0.000 0.500
# * space-group type: No. 123
# * magnetic moment: 2.53 Bohr magnetons per cell
# * V: 28.254 A^3/atom


Result of the stability comparison: (b) is the most stable of them.


(a)
# GGA-PBE CoAsSeBr2, optimized geometry
data_CoAsSeBr2
_chemical_formula_sum 'Co1 As1 Se1 Br2'
_cell_length_a 4.779
_cell_length_b 4.779
_cell_length_c 4.803
_cell_angle_alpha 90.00
_cell_angle_beta 90.00
_cell_angle_gamma 90.00
_symmetry_space_group_name_H-M 'P 1'
_symmetry_Int_Tables_number 1
loop_
_symmetry_equiv_pos_as_xyz
'x,y,z'
loop_
_atom_site_label
_atom_site_fract_x
_atom_site_fract_y
_atom_site_fract_z
Co1 0.000 0.000 0.000
As1 0.500 0.500 0.500
Se1 0.000 0.000 0.500
Br1 0.000 0.500 0.000
Br2 0.500 0.000 0.000
# * space-group type: No. 123
# * magnetic moment: 0.76 Bohr magnetons per cell
# * V: 21.940 A^3/atom


(b)
# GGA-PBE CoAsSeBr2, optimized geometry
data_CoAsSeBr2
_chemical_formula_sum 'Co1 As1 Se1 Br2'
_cell_length_a 4.777
_cell_length_b 4.777
_cell_length_c 4.765
_cell_angle_alpha 90.00
_cell_angle_beta 90.00
_cell_angle_gamma 90.00
_symmetry_space_group_name_H-M 'P 1'
_symmetry_Int_Tables_number 1
loop_
_symmetry_equiv_pos_as_xyz
'x,y,z'
loop_
_atom_site_label
_atom_site_fract_x
_atom_site_fract_y
_atom_site_fract_z
Co1 0.000 0.000 0.000
As1 0.000 0.000 0.500
Se1 0.500 0.500 0.500
Br1 0.000 0.500 0.000
Br2 0.500 0.000 0.000
# * space-group type: No. 123
# * magnetic moment: 0.64 Bohr magnetons per cell
# * V: 21.748 A^3/atom


Result of the stability comparison: (a) is the most stable of them.